Entry 1:
Below is a geometry-optimized VCrN structure, with properties calculated at the PBE level.

Structure (POSCAR):
```
VCrN
1.0
-2.258 0.995 -0.543
-0.380 -1.805 -1.726
-0.619 -2.246 4.333
Cr V N
1 1 1
direct
0.291 0.291 0.583
0.023 0.023 0.046
0.686 0.686 0.371
```

Properties
- Formation energy from raw total energies: -0.1545 eV per atom
- Symmetry: I4mm

Entry 2:
Below is a geometry-optimized VCrN structure, with properties calculated at the PBE level.

Structure (POSCAR):
```
VCrN
1.0
4.306 0.000 0.000
0.000 2.867 0.000
0.000 -1.434 2.483
Cr N V
1 1 1
direct
0.246 0.333 0.667
0.005 0.000 0.000
0.748 0.667 0.333
```

Properties
- Formation energy from raw total energies: -0.6053 eV per atom
- Symmetry: P3m1

Entry 3:
Below is a geometry-optimized VCrN2 structure, with properties calculated at the PBE level.

Structure (POSCAR):
```
VCrN2
1.0
-2.144 -0.661 1.961
2.861 -0.117 0.825
1.003 4.141 2.491
V Cr N
1 1 2
direct
0.500 0.000 0.500
0.000 0.000 0.000
0.252 0.503 0.245
0.748 0.497 0.755
```

Properties
- Formation energy from raw total energies: -0.6965 eV per atom
- ΔE to the lowest computed polymorph: 0.0 meV/atom
- Symmetry: R-3m

Entry 4:
Below is a geometry-optimized V3Cr3N structure, with properties calculated at the PBE level.

Structure (POSCAR):
```
V3Cr3N
1.0
6.658 0.000 3.844
2.219 6.278 3.844
0.000 0.000 7.689
V Cr N
12 12 4
direct
0.062 0.438 0.062
0.188 0.188 0.812
0.812 0.812 0.188
0.812 0.188 0.812
0.812 0.188 0.188
0.188 0.812 0.812
0.438 0.062 0.062
0.062 0.062 0.438
0.438 0.438 0.062
0.062 0.438 0.438
0.188 0.812 0.188
0.438 0.062 0.438
0.834 0.834 0.834
0.416 0.416 0.751
0.416 0.751 0.416
0.751 0.416 0.416
0.834 0.499 0.834
0.499 0.834 0.834
0.834 0.834 0.499
0.416 0.416 0.416
0.625 0.625 0.625
0.625 0.625 0.125
0.625 0.125 0.625
0.125 0.625 0.625
0.125 0.125 0.125
0.125 0.125 0.625
0.125 0.625 0.125
0.625 0.125 0.125
```

Properties
- Formation energy from raw total energies: -0.3793 eV per atom
- Symmetry: Fd-3m

Entry 5:
Below is a geometry-optimized VCr3N structure, with properties calculated at the PBE level.

Structure (POSCAR):
```
VCr3N
1.0
3.812 0.000 0.000
0.000 3.812 0.000
0.000 0.000 3.812
Cr N V
3 1 1
direct
0.000 0.500 0.000
0.000 0.000 0.500
0.500 0.000 0.000
0.000 0.000 0.000
0.500 0.500 0.500
```

Properties
- Formation energy from raw total energies: -0.2086 eV per atom
- ΔE to the lowest computed polymorph: 0.0 meV/atom
- Symmetry: Pm-3m

Entry 6:
Below is a geometry-optimized VCrN2 structure, with properties calculated at the PBE level.

Structure (POSCAR):
```
VCrN2
1.0
0.000 2.529 2.529
2.529 0.000 2.529
2.529 2.529 0.000
Cr V N
1 1 2
direct
0.500 0.500 0.500
0.000 0.000 0.000
0.250 0.250 0.250
0.750 0.750 0.750
```

Properties
- Formation energy from raw total energies: -0.1355 eV per atom
- ΔE to the lowest computed polymorph: 561.0 meV/atom
- Symmetry: Fm-3m

Entry 7:
Below is a geometry-optimized VCrN2 structure, with properties calculated at the PBE level.

Structure (POSCAR):
```
VCrN2
1.0
-0.584 -1.519 4.128
-2.217 -3.495 -1.600
2.382 -4.770 0.966
Cr V N
2 2 4
direct
0.000 0.000 0.000
0.750 0.250 0.500
0.500 0.500 0.000
0.250 0.750 0.500
0.624 0.125 0.250
0.126 0.625 0.250
0.375 0.376 0.750
0.875 0.874 0.750
```

Properties
- Formation energy from raw total energies: -0.6740 eV per atom
- ΔE to the lowest computed polymorph: 22.5 meV/atom
- Symmetry: I-42d

Entry 8:
Below is a geometry-optimized VCrWN2 structure, with properties calculated at the PBE level.

Structure (POSCAR):
```
VCrWN2
1.0
-3.279 -1.195 -1.778
0.146 -4.266 2.598
-2.139 1.653 2.834
Cr N W V
1 2 1 1
direct
0.000 0.500 0.000
0.000 0.000 0.500
0.500 0.000 0.000
0.000 0.000 0.000
0.500 0.500 0.500
```

Properties
- Formation energy from raw total energies: 1.0641 eV per atom
- Symmetry: P4/mmm

Entry 9:
Below is a geometry-optimized VZnCr2N structure, with properties calculated at the PBE level.

Structure (POSCAR):
```
VZnCr2N
1.0
-2.789 -2.602 -0.206
1.248 -1.595 3.239
-2.362 2.368 2.077
Cr Zn N V
2 1 1 1
direct
0.000 0.500 0.000
0.500 0.000 0.000
0.500 0.500 0.500
0.000 0.000 0.000
0.000 0.000 0.500
```

Properties
- Formation energy from raw total energies: -0.2782 eV per atom
- Symmetry: P4/mmm

Entry 10:
Below is a geometry-optimized Cr3WN structure, with properties calculated at the PBE level.

Structure (POSCAR):
```
Cr3WN
1.0
3.847 0.000 0.000
0.000 3.847 0.000
0.000 0.000 3.847
Cr W N
3 1 1
direct
0.000 0.500 0.000
0.000 0.000 0.500
0.500 0.000 0.000
0.500 0.500 0.500
0.000 0.000 0.000
```

Properties
- Formation energy from raw total energies: -0.1269 eV per atom
- ΔE to the lowest computed polymorph: 0.0 meV/atom
- Symmetry: Pm-3m

Entry 11:
Below is a geometry-optimized CrWN2 structure, with properties calculated at the PBE level.

Structure (POSCAR):
```
CrWN2
1.0
-3.257 4.035 3.874
-1.554 2.487 5.770
-0.411 4.818 4.303
Cr W N
1 1 2
direct
0.000 0.000 0.000
0.500 0.500 0.500
0.897 0.897 0.897
0.103 0.103 0.103
```

Properties
- Formation energy from raw total energies: 0.0605 eV per atom
- Symmetry: R-3m

Entry 12:
Below is a geometry-optimized Cr3WN structure, with properties calculated at the PBE level.

Structure (POSCAR):
```
Cr3WN
1.0
-2.218 -3.831 0.715
2.870 -2.162 -2.683
2.637 -0.869 3.521
Cr W N
3 1 1
direct
0.000 0.500 0.000
0.000 0.000 0.500
0.500 0.000 0.000
0.000 0.000 0.000
0.500 0.500 0.500
```

Properties
- Formation energy from raw total energies: 2.9209 eV per atom
- ΔE to the lowest computed polymorph: 3047.8 meV/atom
- Symmetry: Pm-3m

Entry 13:
Below is a geometry-optimized CrW2N structure, with properties calculated at the PBE level.

Structure (POSCAR):
```
CrW2N
1.0
7.097 0.000 0.000
0.000 7.097 0.000
3.549 3.549 2.101
Cr W N
2 4 2
direct
0.000 0.000 0.000
0.750 0.250 0.500
0.508 0.125 0.250
0.242 0.625 0.250
0.375 0.492 0.750
0.875 0.758 0.750
0.500 0.500 0.000
0.250 0.750 0.500
```

Properties
- Formation energy from raw total energies: 0.2330 eV per atom
- Symmetry: I-42d

Entry 14:
Below is a geometry-optimized CrWN2 structure, with properties calculated at the PBE level.

Structure (POSCAR):
```
CrWN2
1.0
-1.321 0.374 -2.504
-1.852 -1.957 -0.944
-5.028 2.035 1.328
Cr W N
1 1 2
direct
0.666 0.666 0.001
0.500 0.500 0.499
0.082 0.082 0.754
0.251 0.251 0.246
```

Properties
- Formation energy from raw total energies: -0.2876 eV per atom
- Symmetry: R3m

Entry 15:
Below is a geometry-optimized CrW3N structure, with properties calculated at the PBE level.

Structure (POSCAR):
```
CrW3N
1.0
4.461 0.000 0.000
0.000 4.461 0.000
0.000 0.000 4.461
Cr W N
1 3 1
direct
0.000 0.000 0.000
0.000 0.500 0.000
0.000 0.000 0.500
0.500 0.000 0.000
0.500 0.500 0.500
```

Properties
- Formation energy from raw total energies: 2.6269 eV per atom
- ΔE to the lowest computed polymorph: 2414.8 meV/atom
- Symmetry: Pm-3m

Entry 16:
Below is a geometry-optimized CrWN structure, with properties calculated at the PBE level.

Structure (POSCAR):
```
CrWN
1.0
-2.581 -1.039 -0.597
1.129 -1.634 -2.038
1.150 -5.968 5.421
N Cr W
2 2 2
direct
0.000 0.500 0.619
0.500 0.000 0.381
0.500 0.000 0.640
0.000 0.500 0.360
0.000 0.500 0.870
0.500 0.000 0.130
```

Properties
- Formation energy from raw total energies: -0.2213 eV per atom
- ΔE to the lowest computed polymorph: 0.0 meV/atom
- Symmetry: P4/nmm

Entry 17:
Below is a geometry-optimized CrW3N structure, with properties calculated at the PBE level.

Structure (POSCAR):
```
CrW3N
1.0
4.093 0.000 0.000
0.000 4.093 0.000
0.000 0.000 4.093
Cr W N
1 3 1
direct
0.500 0.500 0.500
0.000 0.500 0.000
0.000 0.000 0.500
0.500 0.000 0.000
0.000 0.000 0.000
```

Properties
- Formation energy from raw total energies: 0.2121 eV per atom
- ΔE to the lowest computed polymorph: 0.0 meV/atom
- Symmetry: Pm-3m

Entry 18:
Below is a geometry-optimized CrWN structure, with properties calculated at the PBE level.

Structure (POSCAR):
```
CrWN
1.0
-4.273 -1.006 -1.901
1.167 -0.072 -2.585
-0.137 -2.365 1.561
Cr W N
1 1 1
direct
0.079 0.000 0.000
0.607 0.333 0.667
0.314 0.667 0.333
```

Properties
- Formation energy from raw total energies: -0.0712 eV per atom
- ΔE to the lowest computed polymorph: 150.2 meV/atom
- Symmetry: P3m1

Entry 19:
Below is a geometry-optimized CrWN structure, with properties calculated at the PBE level.

Structure (POSCAR):
```
CrWN
1.0
2.620 0.000 0.000
0.000 2.620 0.000
-1.310 -1.310 4.733
Cr W N
1 1 1
direct
0.289 0.289 0.579
0.014 0.014 0.028
0.697 0.697 0.393
```

Properties
- Formation energy from raw total energies: 0.2480 eV per atom
- ΔE to the lowest computed polymorph: 469.3 meV/atom
- Symmetry: I4mm

Entry 20:
Below is a geometry-optimized CrWN2 structure, with properties calculated at the PBE level.

Structure (POSCAR):
```
CrWN2
1.0
0.000 2.635 2.635
2.635 0.000 2.635
2.635 2.635 0.000
Cr W N
1 1 2
direct
0.000 0.000 0.000
0.500 0.500 0.500
0.250 0.250 0.250
0.750 0.750 0.750
```

Properties
- Formation energy from raw total energies: 0.2785 eV per atom
- Symmetry: Fm-3m

Entry 21:
Below is a geometry-optimized CrWN3 structure, with properties calculated at the PBE level.

Structure (POSCAR):
```
CrWN3
1.0
3.903 0.000 0.000
0.000 3.903 0.000
0.000 0.000 3.903
Cr W N
1 1 3
direct
0.500 0.500 0.500
0.000 0.000 0.000
0.000 0.500 0.000
0.000 0.000 0.500
0.500 0.000 0.000
```

Properties
- Formation energy from raw total energies: 0.9096 eV per atom
- Symmetry: Pm-3m

Entry 22:
Below is a geometry-optimized CrWN2 structure, with properties calculated at the PBE level.

Structure (POSCAR):
```
CrWN2
1.0
4.583 0.000 0.000
0.000 4.583 0.000
2.291 2.291 4.493
Cr W N
2 2 4
direct
0.500 0.500 0.000
0.250 0.750 0.500
0.000 0.000 0.000
0.750 0.250 0.500
0.617 0.125 0.250
0.133 0.625 0.250
0.375 0.383 0.750
0.875 0.867 0.750
```

Properties
- Formation energy from raw total energies: -0.1969 eV per atom
- Symmetry: I-42d

Entry 23:
Below is a geometry-optimized YCr3N structure, with properties calculated at the PBE level.

Structure (POSCAR):
```
YCr3N
1.0
-2.464 -3.068 3.237
-0.396 -3.533 -3.650
4.443 -2.016 1.470
Y Cr N
1 3 1
direct
0.000 0.000 0.000
0.000 0.500 0.000
0.000 0.000 0.500
0.500 0.000 0.000
0.500 0.500 0.500
```

Properties
- Formation energy from raw total energies: 3.0580 eV per atom
- ΔE to the lowest computed polymorph: 2987.3 meV/atom
- Symmetry: Pm-3m